# Rb3Tl3AgCl8 | Alexandria | PBE-GGA | optimized geometry
# ΔE_f (raw) ... -1786 kJ/mol of formula units
# Crystal system ... monoclinic
# DOS(E_F) ... 9.3 states/eV/cell
data_Rb3Tl3AgCl8
_chemical_formula_sum 'Rb6 Tl6 Ag2 Cl16'
_symmetry_space_group_name_H-M 'C 1 2/m 1'
_symmetry_Int_Tables_number 12
_symmetry_space_group_name_Hall '-C 2y'
_cell_length_a 15.837
_cell_length_b 9.219
_cell_length_c 9.230
_cell_angle_alpha 90.00
_cell_angle_beta 125.16
_cell_angle_gamma 90.00
loop_
_atom_site_label
_atom_site_type_symbol
_atom_site_fract_x
_atom_site_fract_y
_atom_site_fract_z
_atom_site_occupancy
Rb1 Rb 0.000 0.000 0.000 1
Rb2 Rb 0.250 0.250 0.500 1
Tl1 Tl 0.000 0.500 0.500 1
Tl2 Tl 0.250 0.250 0.000 1
Ag1 Ag 0.000 0.500 0.000 1
Cl1 Cl 0.002 0.288 0.786 1
Cl2 Cl 0.193 0.500 0.191 1
Cl3 Cl 0.249 0.500 0.752 1